# 1
# Ba6PPd

A geometry-optimized Ba6PPd structure (PBE, the Alexandria database).

Properties
The density comes out at 3.7 g/cm3. For the formation energy, the calculation gives -0.42 eV/atom. The calculation puts the energy at -3.19 eV per atom. Its crystal system is monoclinic.

Lattice parameters (Å, degrees): 8.0504 8.0504 8.0252 99.01 99.01 120.08
Closest atoms and distances in Å follow each position.
Sites, in units of the cell vectors:
Ba (0.0946, 0.4019, 0.7483)  1 P 3.17, 1 Pd 3.19
Ba (0.2473, 0.2473, 0.2539)  1 P 3.21, 1 Pd 3.30
Ba (0.4019, 0.0946, 0.7483)  1 P 3.17, 1 Pd 3.19
Ba (0.5981, 0.9054, 0.2517)  1 P 3.17, 1 Pd 3.19
Ba (0.7527, 0.7527, 0.7461)  1 P 3.21, 1 Pd 3.30
Ba (0.9054, 0.5981, 0.2517)  1 P 3.17, 1 Pd 3.19
P (0.0000, 0.0000, 0.5000)  6 Ba 3.17-3.21
Pd (0.5000, 0.5000, 0.0000)  6 Ba 3.19-3.30

# 2
# UBi2Ir

A geometry-optimized UBi2Ir structure (PBE, the Alexandria database).

Properties
The density comes out at 13.5 g/cm3. For the formation energy, the calculation gives 0.53 eV/atom. The calculation puts the energy at -6.44 eV per atom. Its crystal system is trigonal.

Lattice parameters (Å, degrees): 10.7027 10.7027 10.7027 18.17 18.17 18.17
Closest atoms and distances in Å follow each position.
Sites, in units of the cell vectors:
U (0.0000, 0.0000, 0.0000)  2 Bi 3.24, 6 U 3.38
Bi (0.1025, 0.1025, 0.1025)  3 Ir 2.81
Bi (0.8975, 0.8975, 0.8975)  3 Ir 2.81
Ir (0.5000, 0.5000, 0.5000)  6 Bi 2.81

> The lowest energy belongs to which entry?

UBi2Ir